Crystalline Cu2SnSb at its relaxed geometry. Source: the Alexandria database, functional PBE.

a b c (Å): 4.7883 4.7883 4.7883
angles (deg): 60.00 60.00 60.00
Positions (direct):
Sb  0.5000  0.5000  0.5000
Sn  0.0000  0.0000  0.0000
Cu  0.2500  0.2500  0.2500
Cu  0.7500  0.7500  0.7500

Calculated values
Distance to the lowest polymorph of the same formula: 0.40 eV/f.u.
E_form (uncorrected): 0.233 eV per atom
Calculated density: 7.9 g/cm3
Crystal system: cubic
Space group: No. 225



Crystalline CuSn2Sb at its relaxed geometry. Source: the Alexandria database, functional PBE.

a b c (Å): 4.0262 4.0262 7.3485
angles (deg): 74.10 74.10 60.00
Positions (direct):
Sb  0.5000  0.5000  0.5000
Sn  0.2648  0.2648  0.2056
Sn  0.7352  0.7352  0.7944
Cu  0.0000  0.0000  0.0000

Calculated values
E_form (uncorrected): 0.112 eV per atom
Calculated density: 7.2 g/cm3
Crystal system: trigonal
Space group: No. 166



Number 1: DOS at the Fermi energy 2.00 states/eV per cell, calculated total energy -15.4 eV for the cell shown. Number 2: DOS at the Fermi energy 1.84 states/eV per cell, calculated total energy -15.8 eV for the cell shown.